[1]
Material: I2Br5O2
Method: DFT, PBE-GGA
State: relaxed

ΔE_f (raw): 2.47 kJ/mol of atoms
density: 2.67 Mg/m³

Structure (CIF):
```
data_I2Br5O2
_chemical_formula_sum 'I4 Br10 O4'
_cell_length_a 23.570
_cell_length_b 5.602
_cell_length_c 6.468
_cell_angle_alpha 90.00
_cell_angle_beta 91.70
_cell_angle_gamma 90.00
_symmetry_space_group_name_H-M 'C 1 2/m 1'
_symmetry_Int_Tables_number 12
loop_
_symmetry_equiv_pos_as_xyz
'x,y,z'
'-x,-y,-z'
'-x,y,-z'
'x,-y,z'
'x+1/2,y+1/2,z'
'-x+1/2,-y+1/2,-z'
'-x+1/2,y+1/2,-z'
'x+1/2,-y+1/2,z'
loop_
_atom_site_label
_atom_site_fract_x
_atom_site_fract_y
_atom_site_fract_z
I1 0.113 0.000 0.168
Br1 0.000 0.000 0.000
Br2 0.116 0.500 0.104
Br3 0.214 0.000 0.334
O1 0.023 0.500 0.548
```

---

[2]
Material: NaGe2Rh4
Method: DFT, PBE-GGA
State: relaxed

density: 8.34 Mg/m³
ΔH_f (0 K): -0.33 eV per atom

Structure (CIF):
```
data_NaGe2Rh4
_chemical_formula_sum 'Na2 Ge4 Rh8'
_cell_length_a 7.681
_cell_length_b 7.681
_cell_length_c 3.913
_cell_angle_alpha 90.00
_cell_angle_beta 90.00
_cell_angle_gamma 90.00
_symmetry_space_group_name_H-M 'P 42/m n m'
_symmetry_Int_Tables_number 136
_symmetry_space_group_name_Hall '-P 4n 2n'
loop_
_atom_site_label
_atom_site_fract_x
_atom_site_fract_y
_atom_site_fract_z
Na1 0.000 0.000 0.000
Ge1 0.227 0.227 0.500
Rh1 0.078 0.658 0.500
```

---

[3]
Material: LiAcCe
Method: DFT, PBE-GGA
State: relaxed

relative energy among the computed polymorphs: 0.10 eV/f.u.
density: 6.42 Mg/m³
ΔH_f (0 K): 0.24 eV per atom

Structure (CIF):
```
data_LiAcCe
_chemical_formula_sum 'Li2 Ac2 Ce2'
_cell_length_a 4.799
_cell_length_b 4.799
_cell_length_c 8.403
_cell_angle_alpha 90.00
_cell_angle_beta 90.00
_cell_angle_gamma 90.00
_symmetry_space_group_name_H-M 'P 4/n m m'
_symmetry_Int_Tables_number 129
loop_
_symmetry_equiv_pos_as_xyz
'x,y,z'
'-x,-y,-z'
'-y+1/2,x,z'
'y+1/2,-x,-z'
'-x+1/2,-y+1/2,z'
'x+1/2,y+1/2,-z'
'y,-x+1/2,z'
'-y,x+1/2,-z'
'x+1/2,-y,-z'
'-x+1/2,y,z'
'-y,-x,-z'
'y,x,z'
'-x,y+1/2,-z'
'x,-y+1/2,z'
'y+1/2,x+1/2,-z'
'-y+1/2,-x+1/2,z'
loop_
_atom_site_label
_atom_site_fract_x
_atom_site_fract_y
_atom_site_fract_z
Li1 0.250 0.250 0.247
Ac1 0.250 0.250 0.847
Ce1 0.250 0.750 0.500
```

---

[4]
Material: MgZn2In
Method: DFT, PBE-GGA
State: relaxed

density: 5.54 Mg/m³
ΔH_f (0 K): 0.02 eV per atom

Structure (CIF):
```
data_MgZn2In
_chemical_formula_sum 'Mg1 Zn2 In1'
_cell_length_a 3.105
_cell_length_b 4.451
_cell_length_c 5.849
_cell_angle_alpha 90.00
_cell_angle_beta 90.00
_cell_angle_gamma 90.00
_symmetry_space_group_name_H-M 'P m m m'
_symmetry_Int_Tables_number 47
loop_
_symmetry_equiv_pos_as_xyz
'x,y,z'
'-x,-y,-z'
'-x,-y,z'
'x,y,-z'
'x,-y,-z'
'-x,y,z'
'-x,y,-z'
'x,-y,z'
loop_
_atom_site_label
_atom_site_fract_x
_atom_site_fract_y
_atom_site_fract_z
Mg1 0.000 0.000 0.000
Zn1 0.500 0.500 0.217
In1 0.500 0.000 0.500
```

---

[5]
Material: TlSeBr2F
Method: DFT, PBE-GGA
State: relaxed

relative energy among the computed polymorphs: 0.00 eV/f.u.
ΔE_f (raw): -27.45 kJ/mol of atoms
density: 5.41 Mg/m³

Structure (CIF):
```
data_TlSeBr2F
_chemical_formula_sum 'Tl1 Se1 Br2 F1'
_cell_length_a 6.006
_cell_length_b 6.006
_cell_length_c 3.936
_cell_angle_alpha 90.00
_cell_angle_beta 90.00
_cell_angle_gamma 90.00
_symmetry_space_group_name_H-M 'P 4/m m m'
_symmetry_Int_Tables_number 123
_symmetry_space_group_name_Hall '-P 4 2'
loop_
_atom_site_label
_atom_site_fract_x
_atom_site_fract_y
_atom_site_fract_z
Tl1 0.000 0.000 0.000
Se1 0.500 0.500 0.000
Br1 0.000 0.500 0.500
F1 0.500 0.500 0.500
```

---

[6]
Material: MnAl2Rh
Method: DFT, PBE-GGA
State: relaxed

density: 5.97 Mg/m³
ΔH_f (0 K): -0.21 eV per atom

Structure (CIF):
```
data_MnAl2Rh
_chemical_formula_sum 'Mn3 Al6 Rh3'
_cell_length_a 2.8529
_cell_length_b 2.8529
_cell_length_c 25.0798
_cell_angle_alpha 90.00
_cell_angle_beta 90.00
_cell_angle_gamma 120.00
_symmetry_space_group_name_H-M 'R 3 m'
_symmetry_Int_Tables_number 160
_symmetry_space_group_name_Hall 'R 3 -2"'
loop_
_atom_site_label
_atom_site_fract_x
_atom_site_fract_y
_atom_site_fract_z
Mn1 0.0000 0.0000 0.0000
Al1 0.0000 0.0000 0.2507
Al2 0.0000 0.0000 0.4927
Rh1 0.0000 0.0000 0.7491
```